1.
Computed, not measured: crystalline InCuOs at its relaxed geometry at the PBE level of DFT.

Properties
Offset from the most stable computed form, meV per atom: 136
DFT formation energy, kJ per mole of atoms: 60.1

Cell lengths 7.224, 6.950, 2.858 Å; angles 83.81, 73.03, 23.16 degrees
Sites, in units of the cell vectors:
In  0.000  0.000  0.000
Cu  0.669  0.669  0.331
Os  0.324  0.324  0.676

2.
Computed, not measured: crystalline InCuOs at its relaxed geometry at the PBE level of DFT.

Properties
Offset from the most stable computed form, meV per atom: 294
DFT formation energy, kJ per mole of atoms: 75.3

Cell lengths 4.201, 4.201, 4.201 Å; angles 60.00, 60.00, 60.00 degrees
Sites, in units of the cell vectors:
In  0.000  0.000  0.000
Cu  0.750  0.750  0.750
Os  0.500  0.500  0.500

3.
Computed, not measured: crystalline InCuOs at its relaxed geometry at the PBE level of DFT.

Properties
Offset from the most stable computed form, meV per atom: 0
DFT formation energy, kJ per mole of atoms: 47.0

Cell lengths 4.444, 4.444, 2.760 Å; angles 90.00, 90.00, 120.00 degrees
Sites, in units of the cell vectors:
In  0.000  0.000  0.000
Cu  0.333  0.667  0.933
Os  0.667  0.333  0.478

4.
Computed, not measured: crystalline InCuSbOs2 at its relaxed geometry at the PBE level of DFT.

Properties
Uncorrected formation energy, eV/atom: 1.44

Cell lengths 4.669, 4.669, 4.531 Å; angles 90.00, 90.00, 90.00 degrees
Sites, in units of the cell vectors:
In  0.000  0.000  0.000
Cu  0.000  0.000  0.500
Sb  0.500  0.500  0.000
Os  0.000  0.500  0.500
Os  0.500  0.000  0.500

5.
Computed, not measured: crystalline In2CuSbOs at its relaxed geometry at the PBE level of DFT.

Properties
Uncorrected formation energy, eV/atom: 1.49

Cell lengths 5.748, 5.748, 4.930 Å; angles 90.00, 90.00, 90.00 degrees
Sites, in units of the cell vectors:
In  0.000  0.500  0.000
In  0.500  0.000  0.000
Cu  0.000  0.000  0.500
Sb  0.500  0.500  0.000
Os  0.500  0.500  0.500

6.
Computed, not measured: crystalline Sc4InCu2Os at its relaxed geometry at the PBE level of DFT.

Properties
DFT formation energy, kJ per mole of atoms: -37.2

Cell lengths 8.199, 8.199, 8.199 Å; angles 33.35, 33.35, 33.35 degrees
Sites, in units of the cell vectors:
Sc  0.115  0.115  0.115
Sc  0.368  0.368  0.368
Sc  0.632  0.632  0.632
Sc  0.885  0.885  0.885
In  0.500  0.500  0.500
Cu  0.246  0.246  0.246
Cu  0.754  0.754  0.754
Os  0.000  0.000  0.000

7.
Computed, not measured: crystalline ScInCuOs at its relaxed geometry at the PBE level of DFT.

Properties
DFT formation energy, kJ per mole of atoms: -8.6

Cell lengths 4.582, 4.582, 4.582 Å; angles 60.00, 60.00, 60.00 degrees
Sites, in units of the cell vectors:
Sc  0.000  0.000  0.000
In  0.500  0.500  0.500
Cu  0.250  0.250  0.250
Os  0.750  0.750  0.750

8.
Computed, not measured: crystalline InCuOs2W at its relaxed geometry at the PBE level of DFT.

Properties
DFT formation energy, kJ per mole of atoms: 303.1

Cell lengths 4.796, 4.796, 4.882 Å; angles 90.00, 90.00, 90.00 degrees
Sites, in units of the cell vectors:
In  0.000  0.000  0.000
Cu  0.500  0.500  0.500
Os  0.000  0.500  0.000
Os  0.500  0.000  0.000
W  0.000  0.000  0.500

9.
Computed, not measured: crystalline ZrIn2CuOs at its relaxed geometry at the PBE level of DFT.

Properties
DFT formation energy, kJ per mole of atoms: 87.9

Cell lengths 4.658, 4.658, 4.946 Å; angles 90.00, 90.00, 90.00 degrees
Sites, in units of the cell vectors:
Zr  0.000  0.000  0.000
In  0.000  0.500  0.500
In  0.500  0.000  0.500
Cu  0.000  0.000  0.500
Os  0.500  0.500  0.000

10.
Computed, not measured: crystalline ZrInCuOs at its relaxed geometry at the PBE level of DFT.

Properties
DFT formation energy, kJ per mole of atoms: -7.2

Cell lengths 4.614, 4.614, 4.614 Å; angles 60.00, 60.00, 60.00 degrees
Sites, in units of the cell vectors:
Zr  0.000  0.000  0.000
In  0.500  0.500  0.500
Cu  0.750  0.750  0.750
Os  0.250  0.250  0.250

11.
Computed, not measured: crystalline In2CuP at its relaxed geometry at the PBE level of DFT.

Properties
DFT formation energy, kJ per mole of atoms: 38.3

Cell lengths 4.882, 4.882, 4.882 Å; angles 60.00, 60.00, 60.00 degrees
Sites, in units of the cell vectors:
In  0.000  0.000  0.000
In  0.250  0.250  0.250
Cu  0.750  0.750  0.750
P  0.500  0.500  0.500

12.
Computed, not measured: crystalline InCu3P at its relaxed geometry at the PBE level of DFT.

Properties
Offset from the most stable computed form, meV per atom: 0
DFT formation energy, kJ per mole of atoms: 15.9

Cell lengths 4.464, 4.464, 4.464 Å; angles 90.00, 90.00, 90.00 degrees
Sites, in units of the cell vectors:
In  0.000  0.000  0.000
Cu  0.000  0.500  0.500
Cu  0.500  0.000  0.500
Cu  0.500  0.500  0.000
P  0.500  0.500  0.500

| no. | ρ (g cm⁻³) |
| --- | --- |
| 1 | 12.5 |
| 2 | 11.7 |
| 3 | 13.0 |
| 4 | 11.4 |
| 5 | 6.2 |
| 6 | 6.9 |
| 7 | 10.1 |
| 8 | 11.0 |
| 9 | 8.9 |
| 10 | 11.0 |
| 11 | 6.5 |
| 12 | 6.3 |